4
Lattice="-3.309 -1.585 0.646 1.594 -3.366 -0.093 1.287 0.401 7.577" Properties=species:S:1:pos:R:3 comment="LaYCdAu, relaxed, DFT PBE" rho_g_cm3=8.4 spacegroup="No. 99" relative_energy_ev_per_atom=0.000 pbc="T T T"
Cd 1.075 0.335 6.333
La -0.706 -2.428 1.170
Y -0.100 -2.239 4.739
Au 0.496 0.155 2.919